A plane-wave DFT calculation with PBE was carried out for CaGdHoCd after structural relaxation.

a = 5.514 Å, b = 5.514 Å, c = 5.514 Å
α = 60.00°, β = 60.00°, γ = 60.00°
Atoms (fractional coordinates):
Ca 0.000 0.000 0.000
Gd 0.250 0.250 0.250
Ho 0.750 0.750 0.750
Cd 0.500 0.500 0.500

Values from the calculation:
Fermi-level density of states (states/eV/cell): 4.10
Crystal system: cubic
Symmetry: F-43m (216)
Total DFT energy (no corrections) (eV per atom): -5.405
Magnetization (μB per atom): 1.85